Entry 1:
A relaxed structure of NbCuIO2, computed with GGA-PBE.

Cell: 3.933 3.933 6.178 Å, 90.00 90.00 90.00°
Atoms (fractional coordinates):
I (0.000, 0.000, 0.500)
Nb (0.000, 0.000, 0.000)
O (0.000, 0.500, 0.000)
O (0.500, 0.000, 0.000)
Cu (0.500, 0.500, 0.500)

E above lowest polymorph	0	meV per atom
DOS(E_F)	2.101	states/eV/cell
crystal system	tetragonal
uncorrected formation energy	-1.07	eV/atom
E_tot	-6.192	eV per atom

***

Entry 2:
A relaxed structure of NbCuOsI2, computed with GGA-PBE.

Cell: 5.422 4.933 5.422 Å, 90.00 90.00 90.00°
Site moments in Bohr magnetons follow the coordinates.
Atoms (fractional coordinates):
I (0.000, 0.000, 0.500)  0.08
I (0.500, 0.000, 0.000)  0.05
Nb (0.000, 0.000, 0.000)  -0.22
Os (0.500, 0.500, 0.500)  3.16
Cu (0.000, 0.500, 0.000)  0.02

DOS(E_F)	5.269	states/eV/cell
crystal system	tetragonal
uncorrected formation energy	1.81	eV/atom
E_tot	-3.887	eV per atom

***

Entry 3:
A relaxed structure of Nb2CuPbI, computed with GGA-PBE.

Cell: 5.047 5.949 5.047 Å, 90.00 90.00 90.00°
Atoms (fractional coordinates):
Pb (0.000, 0.500, 0.000)
I (0.000, 0.000, 0.000)
Nb (0.000, 0.000, 0.500)
Nb (0.500, 0.000, 0.000)
Cu (0.500, 0.500, 0.500)

DOS(E_F)	6.366	states/eV/cell
crystal system	tetragonal
uncorrected formation energy	1.82	eV/atom
E_tot	-4.075	eV per atom

***

Entry 4:
A relaxed structure of Rb2NbCuI6, computed with GGA-PBE.

Cell: 8.181 8.181 8.136 Å, 59.82 59.82 90.00°
Site moments in Bohr magnetons follow the coordinates.
Atoms (fractional coordinates):
I (0.252, 0.252, 0.496)  -0.01
I (0.748, 0.748, 0.504)  -0.01
I (0.249, 0.249, 0.000)  -0.01
I (0.751, 0.751, 0.000)  -0.01
I (0.751, 0.249, 0.000)  -0.01
I (0.249, 0.751, 0.000)  -0.01
Nb (0.000, 0.000, 0.000)  1.66
Cu (0.500, 0.500, 0.000)  -0.01
Rb (0.750, 0.250, 0.500)  0.00
Rb (0.250, 0.750, 0.500)  0.00

DOS(E_F)	8.082	states/eV/cell
crystal system	tetragonal
uncorrected formation energy	-0.68	eV/atom
E_tot	-3.219	eV per atom

***

Entry 5:
A relaxed structure of RbNbCu2I8, computed with GGA-PBE.

Cell: 7.080 7.080 10.657 Å, 83.48 83.48 67.90°
Atoms (fractional coordinates):
Rb (0.000, 0.000, 0.500)
Nb (0.000, 0.000, 0.000)
Cu (0.625, 0.625, 0.206)
Cu (0.375, 0.375, 0.794)
I (0.779, 0.274, 0.811)
I (0.763, 0.763, 0.996)
I (0.688, 0.688, 0.421)
I (0.312, 0.312, 0.579)
I (0.237, 0.237, 0.004)
I (0.274, 0.779, 0.811)
I (0.726, 0.221, 0.189)
I (0.221, 0.726, 0.189)

DOS(E_F)	3.141	states/eV/cell
crystal system	monoclinic
uncorrected formation energy	-0.47	eV/atom
E_tot	-3.107	eV per atom

***

Entry 6:
A relaxed structure of NbCuRh2I, computed with GGA-PBE.

Cell: 4.842 4.622 4.842 Å, 90.00 90.00 90.00°
Site moments in Bohr magnetons follow the coordinates.
Atoms (fractional coordinates):
I (0.000, 0.000, 0.000)  0.03
Nb (0.500, 0.500, 0.500)  2.11
Rh (0.000, 0.000, 0.500)  -0.01
Rh (0.500, 0.000, 0.000)  -0.11
Cu (0.000, 0.500, 0.000)  0.02

DOS(E_F)	4.691	states/eV/cell
crystal system	tetragonal
uncorrected formation energy	1.35	eV/atom
E_tot	-4.731	eV per atom

***

Entry 7:
A relaxed structure of NbCuSbI2, computed with GGA-PBE.

Cell: 5.490 5.490 5.523 Å, 90.00 90.00 90.00°
Atoms (fractional coordinates):
I (0.000, 0.500, 0.000)
I (0.500, 0.000, 0.000)
Sb (0.000, 0.000, 0.500)
Nb (0.000, 0.000, 0.000)
Cu (0.500, 0.500, 0.500)

E above lowest polymorph	0	meV per atom
DOS(E_F)	2.822	states/eV/cell
crystal system	tetragonal
uncorrected formation energy	0.65	eV/atom
E_tot	-3.628	eV per atom

***

Entry 8:
A relaxed structure of NbCuSb2I, computed with GGA-PBE.

Cell: 5.376 5.376 5.548 Å, 90.00 90.00 90.00°
Atoms (fractional coordinates):
I (0.000, 0.000, 0.500)
Sb (0.000, 0.500, 0.000)
Sb (0.500, 0.000, 0.000)
Nb (0.000, 0.000, 0.000)
Cu (0.500, 0.500, 0.500)

E above lowest polymorph	0	meV per atom
DOS(E_F)	4.830	states/eV/cell
crystal system	tetragonal
uncorrected formation energy	0.71	eV/atom
E_tot	-4.081	eV per atom

***

Entry 9:
A relaxed structure of NbCuSbI2, computed with GGA-PBE.

Cell: 5.265 5.265 5.126 Å, 90.00 90.00 90.00°
Site moments in Bohr magnetons follow the coordinates.
Atoms (fractional coordinates):
I (0.000, 0.500, 0.000)  -0.08
I (0.500, 0.000, 0.000)  -0.08
Sb (0.000, 0.000, 0.500)  -0.20
Nb (0.500, 0.500, 0.500)  2.55
Cu (0.000, 0.000, 0.000)  -0.01

E above lowest polymorph	277	meV per atom
DOS(E_F)	4.634	states/eV/cell
crystal system	tetragonal
uncorrected formation energy	0.93	eV/atom
E_tot	-3.351	eV per atom

***

Entry 10:
A relaxed structure of NbCuSb2I, computed with GGA-PBE.

Cell: 4.982 4.982 5.403 Å, 90.00 90.00 90.00°
Site moments in Bohr magnetons follow the coordinates.
Atoms (fractional coordinates):
I (0.000, 0.000, 0.500)  -0.06
Sb (0.000, 0.500, 0.000)  -0.09
Sb (0.500, 0.000, 0.000)  -0.09
Nb (0.500, 0.500, 0.500)  2.40
Cu (0.000, 0.000, 0.000)  0.00

E above lowest polymorph	210	meV per atom
DOS(E_F)	5.407	states/eV/cell
crystal system	tetragonal
uncorrected formation energy	0.92	eV/atom
E_tot	-3.871	eV per atom

***

Entry 11:
A relaxed structure of NbZn2CuI, computed with GGA-PBE.

Cell: 4.651 5.007 4.651 Å, 90.00 90.00 90.00°
Site moments in Bohr magnetons follow the coordinates.
Atoms (fractional coordinates):
I (0.500, 0.500, 0.500)  -0.03
Nb (0.000, 0.500, 0.000)  1.59
Zn (0.000, 0.000, 0.500)  -0.03
Zn (0.500, 0.000, 0.000)  -0.02
Cu (0.000, 0.000, 0.000)  0.04

DOS(E_F)	3.162	states/eV/cell
crystal system	tetragonal
uncorrected formation energy	0.57	eV/atom
E_tot	-3.081	eV per atom

***

Entry 12:
A relaxed structure of Nd6CuI8, computed with GGA-PBE.

Cell: 7.704 7.704 12.384 Å, 71.88 71.88 60.00°
Atoms (fractional coordinates):
Nd (0.951, 0.653, 0.148)
Nd (0.752, 0.049, 0.852)
Nd (0.347, 0.752, 0.852)
Nd (0.653, 0.248, 0.148)
Nd (0.248, 0.951, 0.148)
Nd (0.049, 0.347, 0.852)
Cu (0.000, 0.000, 0.000)
I (0.757, 0.456, 0.681)
I (0.894, 0.243, 0.319)
I (0.544, 0.894, 0.319)
I (0.333, 0.333, 0.000)
I (0.667, 0.667, 0.000)
I (0.456, 0.106, 0.681)
I (0.106, 0.757, 0.681)
I (0.243, 0.544, 0.319)

DOS(E_F)	6.572	states/eV/cell
crystal system	trigonal
uncorrected formation energy	-1.05	eV/atom
E_tot	-4.056	eV per atom